Entry 1:
Density functional theory data (PBE) for a relaxed La2TcPdC crystal.

Electronic total energy in eV/atom: -7.18
Size of the total moment in Bohr magnetons per cell: 0.00
ΔE_f in eV per formula unit: -1.271
Density in Mg/m³: 7.44

Cell lengths 5.283, 5.283, 3.955 Å; angles 90.00, 90.00, 90.00 degrees
Atoms (fractional coordinates):
C 0.000 0.000 0.000
Tc 0.000 0.000 0.500
Pd 0.500 0.500 0.500
La 0.000 0.500 0.000
La 0.500 0.000 0.000


Entry 2:
Density functional theory data (PBE) for a relaxed La2TlPdC crystal.

Electronic total energy in eV/atom: -5.60
Size of the total moment in Bohr magnetons per cell: 0.00
ΔE_f in eV per formula unit: -1.368
Density in Mg/m³: 8.32

Cell lengths 5.410, 5.410, 4.097 Å; angles 90.00, 90.00, 90.00 degrees
Atoms (fractional coordinates):
Tl 0.500 0.500 0.500
C 0.000 0.000 0.000
Pd 0.000 0.000 0.500
La 0.000 0.500 0.000
La 0.500 0.000 0.000


Entry 3:
Density functional theory data (PBE) for a relaxed La2PdWC crystal.

Electronic total energy in eV/atom: -5.95
Size of the total moment in Bohr magnetons per cell: 1.59
ΔE_f in eV per formula unit: 7.485
Density in Mg/m³: 6.62

Cell lengths 5.569, 4.695, 5.569 Å; angles 90.00, 90.00, 90.00 degrees
Site moments in Bohr magnetons follow the coordinates.
Atoms (fractional coordinates):
C 0.500 0.500 0.500  0.72
Pd 0.000 0.500 0.000  0.02
W 0.000 0.000 0.000  0.02
La 0.000 0.000 0.500  0.00
La 0.500 0.000 0.000  0.01


Entry 4:
Density functional theory data (PBE) for a relaxed LaY2PdC crystal.

Electronic total energy in eV/atom: -6.76
Size of the total moment in Bohr magnetons per cell: 0.00
ΔE_f in eV per formula unit: -1.515
Density in Mg/m³: 5.93

Cell lengths 4.776, 4.776, 5.343 Å; angles 90.00, 90.00, 90.00 degrees
Atoms (fractional coordinates):
Y 0.000 0.500 0.000
Y 0.500 0.000 0.000
C 0.000 0.000 0.000
Pd 0.500 0.500 0.500
La 0.000 0.000 0.500


Entry 5:
Density functional theory data (PBE) for a relaxed LaZrPdC2 crystal.

Electronic total energy in eV/atom: -6.78
Size of the total moment in Bohr magnetons per cell: 0.00
ΔE_f in eV per formula unit: 3.197
Density in Mg/m³: 6.11

Cell lengths 4.370, 5.131, 4.370 Å; angles 90.00, 90.00, 90.00 degrees
Atoms (fractional coordinates):
C 0.000 0.000 0.500
C 0.500 0.000 0.000
Zr 0.000 0.000 0.000
Pd 0.000 0.500 0.000
La 0.500 0.500 0.500


Entry 6:
Density functional theory data (PBE) for a relaxed LaPmC crystal.

Electronic total energy in eV/atom: -6.32
Size of the total moment in Bohr magnetons per cell: 0.00
Energy relative to the lowest polymorph listed for this composition in meV per atom: 114
ΔE_f in eV per formula unit: -0.051
Density in Mg/m³: 6.49

Cell lengths 3.702, 6.440, 6.355 Å; angles 90.00, 90.00, 90.00 degrees
Atoms (fractional coordinates):
La 0.000 0.937 0.212
La 0.500 0.063 0.712
Pm 0.000 0.560 0.792
Pm 0.500 0.440 0.292
C 0.500 0.737 0.998
C 0.000 0.263 0.498


Entry 7:
Density functional theory data (PBE) for a relaxed La2PmC crystal.

Electronic total energy in eV/atom: -5.92
Size of the total moment in Bohr magnetons per cell: 0.00
Energy relative to the lowest polymorph listed for this composition in meV per atom: 58
ΔE_f in eV per formula unit: 0.131
Density in Mg/m³: 6.04

Cell lengths 3.672, 3.672, 10.459 Å; angles 79.89, 79.89, 60.00 degrees
Atoms (fractional coordinates):
C 0.500 0.500 0.500
La 0.119 0.119 0.643
La 0.881 0.881 0.357
Pm 0.000 0.000 0.000


Entry 8:
Density functional theory data (PBE) for a relaxed LaPmC crystal.

Electronic total energy in eV/atom: -6.43
Size of the total moment in Bohr magnetons per cell: 0.00
Energy relative to the lowest polymorph listed for this composition in meV per atom: 0
ΔE_f in eV per formula unit: -0.392
Density in Mg/m³: 6.16

Cell lengths 3.689, 6.402, 7.706 Å; angles 114.64, 103.85, 90.00 degrees
Atoms (fractional coordinates):
La 0.858 0.191 0.716
La 0.142 0.809 0.284
Pm 0.353 0.687 0.705
Pm 0.647 0.313 0.295
C 0.250 0.254 0.500
C 0.750 0.746 0.500


Entry 9:
Density functional theory data (PBE) for a relaxed LaPmC crystal.

Electronic total energy in eV/atom: -6.18
Size of the total moment in Bohr magnetons per cell: 0.00
Energy relative to the lowest polymorph listed for this composition in meV per atom: 251
ΔE_f in eV per formula unit: 0.361
Density in Mg/m³: 6.37

Cell lengths 3.686, 3.686, 13.115 Å; angles 90.00, 90.00, 120.00 degrees
Atoms (fractional coordinates):
C 0.614 0.227 0.000
C 0.275 0.550 0.500
La 0.609 0.217 0.386
La 0.609 0.217 0.614
Pm 0.280 0.561 0.888
Pm 0.280 0.561 0.112


Entry 10:
Density functional theory data (PBE) for a relaxed LaPmC2 crystal.

Electronic total energy in eV/atom: -7.21
Size of the total moment in Bohr magnetons per cell: 0.00
ΔE_f in eV per formula unit: -0.697
Density in Mg/m³: 5.39

Cell lengths 3.729, 6.880, 4.305 Å; angles 101.42, 115.47, 72.70 degrees
Atoms (fractional coordinates):
La 0.906 0.232 0.704
Pm 0.403 0.797 0.225
C 0.607 0.956 0.803
C 0.712 0.054 0.123


Entry 11:
Density functional theory data (PBE) for a relaxed LaPm3C crystal.

Electronic total energy in eV/atom: -5.60
Size of the total moment in Bohr magnetons per cell: 0.00
ΔE_f in eV per formula unit: 0.388
Density in Mg/m³: 6.82

Cell lengths 5.225, 5.225, 5.225 Å; angles 90.00, 90.00, 90.00 degrees
Atoms (fractional coordinates):
C 0.000 0.000 0.000
La 0.500 0.500 0.500
Pm 0.000 0.500 0.000
Pm 0.000 0.000 0.500
Pm 0.500 0.000 0.000


Entry 12:
Density functional theory data (PBE) for a relaxed La2PmC crystal.

Electronic total energy in eV/atom: -5.98
Size of the total moment in Bohr magnetons per cell: 0.00
Energy relative to the lowest polymorph listed for this composition in meV per atom: 0
ΔE_f in eV per formula unit: -0.102
Density in Mg/m³: 6.04

Cell lengths 5.229, 7.404, 6.956 Å; angles 105.39, 112.08, 90.00 degrees
Atoms (fractional coordinates):
La 0.145 0.572 0.289
La 0.855 0.428 0.711
La 0.145 0.072 0.289
La 0.855 0.928 0.711
Pm 0.500 0.250 0.000
Pm 0.500 0.750 0.000
C 0.000 0.750 0.000
C 0.000 0.250 0.000


Entry 13:
Density functional theory data (PBE) for a relaxed LaPm2C3 crystal.

Electronic total energy in eV/atom: -7.01
Size of the total moment in Bohr magnetons per cell: 0.00
ΔE_f in eV per formula unit: 0.049
Density in Mg/m³: 6.17

Cell lengths 5.934, 7.294, 7.294 Å; angles 64.83, 66.00, 66.00 degrees
Atoms (fractional coordinates):
La 0.750 0.716 0.784
La 0.250 0.284 0.216
Pm 0.077 0.090 0.757
Pm 0.577 0.257 0.590
Pm 0.423 0.743 0.410
Pm 0.923 0.910 0.243
C 0.386 0.000 0.000
C 0.614 0.000 0.000
C 0.114 0.500 0.500
C 0.000 0.000 0.500
C 0.500 0.000 0.500
C 0.886 0.500 0.500


Entry 14:
Density functional theory data (PBE) for a relaxed La3PmC crystal.

Electronic total energy in eV/atom: -5.67
Size of the total moment in Bohr magnetons per cell: 0.00
ΔE_f in eV per formula unit: 0.424
Density in Mg/m³: 6.28

Cell lengths 5.333, 5.333, 5.333 Å; angles 90.00, 90.00, 90.00 degrees
Atoms (fractional coordinates):
C 0.000 0.000 0.000
La 0.000 0.500 0.000
La 0.000 0.000 0.500
La 0.500 0.000 0.000
Pm 0.500 0.500 0.500


Entry 15:
Density functional theory data (PBE) for a relaxed LaPmC crystal.

Electronic total energy in eV/atom: -6.43
Size of the total moment in Bohr magnetons per cell: 0.00
Energy relative to the lowest polymorph listed for this composition in meV per atom: 0
ΔE_f in eV per formula unit: -0.391
Density in Mg/m³: 6.17

Cell lengths 6.765, 3.688, 3.688 Å; angles 120.00, 90.00, 90.00 degrees
Atoms (fractional coordinates):
C 0.328 0.333 0.667
La 0.546 0.667 0.333
Pm 0.125 0.000 0.000


Entry 16:
Density functional theory data (PBE) for a relaxed La2PmTc2C4 crystal.

Electronic total energy in eV/atom: -8.05
Size of the total moment in Bohr magnetons per cell: 0.00
ΔE_f in eV per formula unit: -0.175
Density in Mg/m³: 7.30

Cell lengths 3.590, 7.416, 6.124 Å; angles 106.05, 90.00, 104.01 degrees
Atoms (fractional coordinates):
La 0.864 0.728 0.468
La 0.136 0.272 0.532
Pm 0.000 0.000 0.000
Tc 0.318 0.635 0.989
Tc 0.682 0.365 0.011
C 0.780 0.559 0.810
C 0.220 0.441 0.190
C 0.437 0.875 0.225
C 0.563 0.125 0.775


Entry 17:
Density functional theory data (PBE) for a relaxed La2PmTlC crystal.

Electronic total energy in eV/atom: -5.54
Size of the total moment in Bohr magnetons per cell: 0.00
ΔE_f in eV per formula unit: -1.488
Density in Mg/m³: 7.58

Cell lengths 5.143, 5.217, 5.217 Å; angles 90.00, 90.00, 90.00 degrees
Atoms (fractional coordinates):
La 0.000 0.000 0.500
La 0.000 0.500 0.000
Pm 0.500 0.000 0.000
Tl 0.500 0.500 0.500
C 0.000 0.000 0.000


Entry 18:
Density functional theory data (PBE) for a relaxed LaPrC2 crystal.

Electronic total energy in eV/atom: -7.10
Size of the total moment in Bohr magnetons per cell: 0.00
ΔE_f in eV per formula unit: -0.233
Density in Mg/m³: 5.86

Cell lengths 4.143, 3.910, 5.429 Å; angles 101.62, 90.01, 89.99 degrees
Atoms (fractional coordinates):
La 0.032 0.354 0.774
Pr 0.532 0.707 0.297
C 0.532 0.855 0.792
C 0.532 0.122 0.992


Entry 19:
Density functional theory data (PBE) for a relaxed La3PrC crystal.

Electronic total energy in eV/atom: -5.68
Size of the total moment in Bohr magnetons per cell: 0.00
ΔE_f in eV per formula unit: 0.386
Density in Mg/m³: 6.21

Cell lengths 5.341, 5.341, 5.341 Å; angles 90.00, 90.00, 90.00 degrees
Atoms (fractional coordinates):
Pr 0.500 0.500 0.500
C 0.000 0.000 0.000
La 0.000 0.500 0.000
La 0.000 0.000 0.500
La 0.500 0.000 0.000


Entry 20:
Density functional theory data (PBE) for a relaxed La2Pr4C crystal.

Electronic total energy in eV/atom: -5.29
Size of the total moment in Bohr magnetons per cell: 0.00
ΔE_f in eV per formula unit: 1.194
Density in Mg/m³: 5.93

Cell lengths 5.139, 5.139, 9.751 Å; angles 74.72, 74.72, 90.00 degrees
Atoms (fractional coordinates):
Pr 0.863 0.863 0.274
Pr 0.137 0.137 0.726
Pr 0.000 0.500 0.000
Pr 0.500 0.000 0.000
C 0.000 0.000 0.000
La 0.677 0.677 0.645
La 0.323 0.323 0.355